# MnTl4W | Alexandria | PBE | optimized geometry
data_MnTl4W
_cell_length_a 8.5997
_cell_length_b 8.5997
_cell_length_c 8.5997
_cell_angle_alpha 90.00
_cell_angle_beta 90.00
_cell_angle_gamma 90.00
_symmetry_space_group_name_H-M 'F -4 3 m'
_symmetry_Int_Tables_number 216
_symmetry_space_group_name_Hall 'F -4 2 3'
loop_
_atom_site_label
_atom_site_fract_x
_atom_site_fract_y
_atom_site_fract_z
Mn1 0.0000 0.0000 0.0000
Tl1 0.1249 0.1249 0.6249
W1 0.2500 0.2500 0.2500
# - energy relative to the elements (eV/f.u.) = 8.2
# - calculated volume (Å³ per atom) = 26.5

=====

# MnTl2W | Alexandria | PBE | optimized geometry
data_MnTl2W
_cell_length_a 7.5498
_cell_length_b 7.5498
_cell_length_c 5.8881
_cell_angle_alpha 90.00
_cell_angle_beta 90.00
_cell_angle_gamma 90.00
_symmetry_space_group_name_H-M 'I -4 2 d'
_symmetry_Int_Tables_number 122
_symmetry_space_group_name_Hall 'I -4 2bw'
loop_
_atom_site_label
_atom_site_fract_x
_atom_site_fract_y
_atom_site_fract_z
Mn1 0.0000 0.0000 0.0000
Tl1 0.2390 0.7500 0.1250
W1 0.0000 0.0000 0.5000
# - energy relative to the elements (eV/f.u.) = 4.9
# - calculated volume (Å³ per atom) = 21.0
# - energy above the most stable polymorph in this dataset (eV/atom) = 0.6628

=====

Q: The lowest calculated volume belongs to which entry?
A: MnTl2W

=====

Q: Which value of energy relative to the elements does entry 1 give?
A: 8.2 eV/f.u.